Material: AlZnWO6
Method: DFT, PBE+U
State: optimized geometry

It has space group P-31c (No. 163), with a = 5.0591 Å, b = 5.0591 Å, c = 8.8910 Å, α = 90.00°, β = 90.00° and γ = 120.00°. Symmetry generates all atoms from Al at (0.3333, 0.6667, 0.2500), Zn at (0.0000, 0.0000, 0.0000), W at (0.3333, 0.6667, 0.7500) and O at (0.0050, 0.3560, 0.1343).

Its uncorrected energy is -6.5217 eV per atom.

***

Material: KMn2NiF8
Method: DFT, PBE+U
State: optimized geometry

It has space group P-1 (No. 2), with a = 4.990 Å, b = 5.009 Å, c = 6.818 Å, α = 87.14°, β = 87.17° and γ = 86.12°. Symmetry generates all atoms from K at (0.000, 0.000, 0.000), Mn at (0.489, 0.489, 0.258), Ni at (0.000, 0.000, 0.500), F at (0.209, 0.782, 0.703), F at (0.219, 0.792, 0.297), F at (0.293, 0.295, 0.485) and F at (0.336, 0.338, 0.983).

Its uncorrected energy is -5.2444 eV per atom.